No. 1
Compound: LiDy2Mg5
Source: the Alexandria database
Functional: PBE
Structure: relaxed

Unit cell a=4.900 b=4.900 c=16.498 alpha=90.00 beta=90.00 gamma=90.00
Space group I4/mmm (No. 139)
One atom of each set of equivalent atoms:
Li 0.000 0.000 0.000 [2 per cell]
Dy 0.000 0.000 0.254 [4 per cell]
Mg 0.000 0.000 0.500 [2 per cell]
Mg 0.000 0.500 0.112 [8 per cell]

The value obtained for the formation energy is -42.8 meV per atom. Its crystal system is tetragonal. The calculation puts the final energy at -2.43 eV/atom.



No. 2
Compound: K2SrSb
Source: the Alexandria database
Functional: PBE
Structure: relaxed

Unit cell a=4.514 b=4.514 c=9.978 alpha=90.00 beta=90.00 gamma=90.00
Space group P4mm (No. 99)
One atom of each set of equivalent atoms:
K 0.000 0.000 0.000 [1 per cell]
K 0.500 0.500 0.361 [1 per cell]
Sr 0.500 0.500 0.707 [1 per cell]
Sb 0.000 0.000 0.615 [1 per cell]

For the formation energy (no corrections), the calculation gives -0.389 eV/atom. Its crystal system is tetragonal. The calculation puts the final energy at -2.39 eV/atom.



No. 3
Compound: Ac5Co2Au2
Source: the Alexandria database
Functional: PBE
Structure: relaxed

Unit cell a=16.432 b=8.098 c=8.057 alpha=90.00 beta=90.00 gamma=90.00
Space group Cmce (No. 64)
One atom of each set of equivalent atoms:
Ac 0.000 0.000 0.000 [4 per cell]
Ac 0.130 0.175 0.328 [16 per cell]
Co 0.000 0.104 0.604 [8 per cell]
Au 0.209 0.000 0.000 [8 per cell]

The value obtained for the formation energy is -310.9 meV per atom. Its crystal system is orthorhombic. The calculation puts the final energy at -4.90 eV/atom.



No. 4
Compound: Mg5Tl
Source: the Alexandria database
Functional: PBE
Structure: relaxed

Unit cell a=5.5774 b=5.5774 c=5.2225 alpha=90.00 beta=90.00 gamma=120.00
Space group P-62m (No. 189)
One atom of each set of equivalent atoms:
Mg 0.0000 0.6640 0.0000 [3 per cell]
Mg 0.3333 0.6667 0.5000 [2 per cell]
Tl 0.0000 0.0000 0.5000 [1 per cell]

The value obtained for the formation energy is -13.0 meV per atom. The value obtained for the polymorph energy (0 for the lowest one) is 0.138 kcal/mol of atoms. Its crystal system is hexagonal. The calculation puts the final energy at -1.74 eV/atom.



No. 5
Compound: Nd2TiTl3Se6
Source: the Alexandria database
Functional: PBE
Structure: relaxed

Unit cell a=7.207 b=12.467 c=8.124 alpha=90.00 beta=107.37 gamma=90.00
Space group C2/m (No. 12)
One atom of each set of equivalent atoms:
Nd 0.000 0.165 0.000 [4 per cell]
Ti 0.000 0.500 0.000 [2 per cell]
Tl 0.000 0.000 0.500 [2 per cell]
Tl 0.000 0.326 0.500 [4 per cell]
Se 0.218 0.348 0.200 [8 per cell]
Se 0.236 0.500 0.789 [4 per cell]

For the formation energy (no corrections), the calculation gives -1.155 eV/atom. Its crystal system is monoclinic. The calculation puts the final energy at -4.94 eV/atom.



No. 6
Compound: DyClF2
Source: the Alexandria database
Functional: PBE
Structure: relaxed

Unit cell a=3.745 b=9.903 c=6.927 alpha=90.00 beta=90.00 gamma=90.00
Space group Cmcm (No. 63)
One atom of each set of equivalent atoms:
Dy 0.000 0.240 0.250 [4 per cell]
Cl 0.000 0.046 0.750 [4 per cell]
F 0.000 0.319 0.568 [8 per cell]

The value obtained for the polymorph energy (0 for the lowest one) is 0.000 kcal/mol of atoms. For the formation energy (no corrections), the calculation gives -3.503 eV/atom. Its crystal system is orthorhombic. The calculation puts the final energy at -6.05 eV/atom.



No. 7
Compound: PuCu2Pb2O6
Source: the Alexandria database
Functional: PBE
Structure: relaxed

Unit cell a=6.0845 b=6.0845 c=16.0064 alpha=90.00 beta=90.00 gamma=120.00
Space group R-3m (No. 166, hexagonal axes)
One atom of each set of equivalent atoms:
Pu 0.0000 0.0000 0.0000 [3 per cell]
Cu 0.0000 0.0000 0.4187 [6 per cell]
Pb 0.0000 0.0000 0.2045 [6 per cell]
O 0.0287 0.5143 0.7538 [18 per cell]

For the formation energy (no corrections), the calculation gives -1.355 eV/atom. Its crystal system is trigonal. The calculation puts the final energy at -6.78 eV/atom.



No. 8
Compound: MgTl2Os
Source: the Alexandria database
Functional: PBE
Structure: relaxed

Unit cell a=9.520 b=3.466 c=5.132 alpha=90.00 beta=104.77 gamma=90.00
Space group C2/m (No. 12)
One atom of each set of equivalent atoms:
Mg 0.000 0.000 0.000 [2 per cell]
Tl 0.241 0.000 0.734 [4 per cell]
Os 0.000 0.500 0.500 [2 per cell]

The value obtained for the formation energy is 585.0 meV per atom. The value obtained for the polymorph energy (0 for the lowest one) is 2.677 kcal/mol of atoms. Its crystal system is monoclinic. The calculation puts the final energy at -3.80 eV/atom.



No. 9
Compound: MgSiAsBr2
Source: the Alexandria database
Functional: PBE
Structure: relaxed

Unit cell a=5.027 b=5.027 c=5.131 alpha=90.00 beta=90.00 gamma=90.00
Space group P4/mmm (No. 123)
One atom of each set of equivalent atoms:
Mg 0.000 0.000 0.000 [1 per cell]
Si 0.500 0.500 0.500 [1 per cell]
As 0.500 0.500 0.000 [1 per cell]
Br 0.000 0.500 0.500 [2 per cell]

The value obtained for the polymorph energy (0 for the lowest one) is 0.000 kcal/mol of atoms. For the formation energy (no corrections), the calculation gives 0.096 eV/atom. Its crystal system is tetragonal. The calculation puts the final energy at -2.91 eV/atom.



No. 10
Compound: NdDy6Tm3Sc2
Source: the Alexandria database
Functional: PBE
Structure: relaxed

Unit cell a=6.053 b=10.473 c=11.575 alpha=90.00 beta=99.98 gamma=90.00
Space group C2/m (No. 12)
One atom of each set of equivalent atoms:
Nd 0.000 0.000 0.000 [2 per cell]
Dy 0.247 0.500 0.248 [4 per cell]
Dy 0.248 0.332 0.752 [8 per cell]
Tm 0.000 0.167 0.500 [4 per cell]
Tm 0.000 0.500 0.500 [2 per cell]
Sc 0.000 0.333 0.000 [4 per cell]

The value obtained for the formation energy is 37.5 meV per atom. Its crystal system is monoclinic. The calculation puts the final energy at -4.83 eV/atom.



No. 11
Compound: Dy3Zr3NbN8
Source: the Alexandria database
Functional: PBE
Structure: relaxed

Unit cell a=6.5547 b=6.5547 c=16.6027 alpha=90.00 beta=90.00 gamma=120.00
Space group R-3m (No. 166, hexagonal axes)
One atom of each set of equivalent atoms:
Dy 0.0000 0.5000 0.0000 [9 per cell]
Zr 0.0000 0.5000 0.5000 [9 per cell]
Nb 0.0000 0.0000 0.5000 [3 per cell]
N 0.0000 0.0000 0.2447 [6 per cell]
N 0.0172 0.5086 0.2392 [18 per cell]

For the formation energy (no corrections), the calculation gives -1.523 eV/atom. Its crystal system is trigonal. The calculation puts the final energy at -9.26 eV/atom.



No. 12
Compound: HfZnHg
Source: the Alexandria database
Functional: PBE
Structure: relaxed

Unit cell a=3.142 b=4.611 c=5.064 alpha=90.00 beta=90.00 gamma=90.00
Space group Pmmm (No. 47)
One atom of each set of equivalent atoms:
Hf 0.000 0.000 0.000 [1 per cell]
Zn 0.500 0.500 0.000 [1 per cell]
Hg 0.500 0.000 0.500 [1 per cell]

The value obtained for the formation energy is 193.9 meV per atom. The value obtained for the polymorph energy (0 for the lowest one) is 5.952 kcal/mol of atoms. Its crystal system is orthorhombic. The calculation puts the final energy at -3.65 eV/atom.



No. 13
Compound: AcThP2
Source: the Alexandria database
Functional: PBE
Structure: relaxed

Unit cell a=4.2340 b=4.2340 c=14.2553 alpha=90.00 beta=90.00 gamma=120.00
Space group P6_3/mmc (No. 194)
One atom of each set of equivalent atoms:
Ac 0.3333 0.6667 0.2500 [2 per cell]
Th 0.0000 0.0000 0.0000 [2 per cell]
P 0.3333 0.6667 0.6135 [4 per cell]

The value obtained for the formation energy is -1487.7 meV per atom. The value obtained for the polymorph energy (0 for the lowest one) is 0.442 kcal/mol of atoms. Its crystal system is hexagonal. The calculation puts the final energy at -7.07 eV/atom.



No. 14
Compound: NaYTlF2
Source: the Alexandria database
Functional: PBE
Structure: relaxed

Unit cell a=4.391 b=4.391 c=6.677 alpha=90.00 beta=90.00 gamma=90.00
Space group P4/mmm (No. 123)
One atom of each set of equivalent atoms:
Na 0.000 0.000 0.000 [1 per cell]
Y 0.500 0.500 0.500 [1 per cell]
Tl 0.500 0.500 0.000 [1 per cell]
F 0.000 0.500 0.500 [2 per cell]

For the formation energy (no corrections), the calculation gives -2.066 eV/atom. Its crystal system is tetragonal. The calculation puts the final energy at -4.84 eV/atom.



No. 15
Compound: LiPa4Se5
Source: the Alexandria database
Functional: PBE
Structure: relaxed

Unit cell a=4.048 b=4.048 c=28.475 alpha=90.00 beta=90.00 gamma=90.00
Space group I4/mmm (No. 139)
One atom of each set of equivalent atoms:
Li 0.000 0.000 0.000 [2 per cell]
Pa 0.000 0.000 0.197 [4 per cell]
Pa 0.000 0.000 0.400 [4 per cell]
Se 0.000 0.000 0.094 [4 per cell]
Se 0.000 0.000 0.299 [4 per cell]
Se 0.000 0.000 0.500 [2 per cell]

For the formation energy (no corrections), the calculation gives -1.238 eV/atom. Its crystal system is tetragonal. The calculation puts the final energy at -6.97 eV/atom.



No. 16
Compound: AgHgSe2
Source: the Alexandria database
Functional: PBE
Structure: relaxed

Unit cell a=3.9606 b=3.9606 c=20.3907 alpha=90.00 beta=90.00 gamma=120.00
Space group R3m (No. 160, hexagonal axes)
One atom of each set of equivalent atoms:
Ag 0.0000 0.0000 0.0000 [3 per cell]
Hg 0.0000 0.0000 0.1689 [3 per cell]
Se 0.0000 0.0000 0.4106 [3 per cell]
Se 0.0000 0.0000 0.5925 [3 per cell]

For the formation energy (no corrections), the calculation gives 0.059 eV/atom. Its crystal system is trigonal. The calculation puts the final energy at -2.47 eV/atom.



No. 17
Compound: Li3U3RuS8
Source: the Alexandria database
Functional: PBE
Structure: relaxed

Unit cell a=7.3542 b=7.3542 c=19.2675 alpha=90.00 beta=90.00 gamma=120.00
Space group R-3m (No. 166, hexagonal axes)
One atom of each set of equivalent atoms:
Li 0.0000 0.5000 0.0000 [9 per cell]
U 0.0000 0.5000 0.5000 [9 per cell]
Ru 0.0000 0.0000 0.5000 [3 per cell]
S 0.0000 0.0000 0.2550 [6 per cell]
S 0.0266 0.5133 0.2467 [18 per cell]

For the formation energy (no corrections), the calculation gives -1.223 eV/atom. Its crystal system is trigonal. The calculation puts the final energy at -6.68 eV/atom.



No. 18
Compound: KRbIO2
Source: the Alexandria database
Functional: PBE
Structure: relaxed

Unit cell a=5.398 b=5.398 c=7.061 alpha=90.00 beta=90.00 gamma=90.00
Space group P4/mmm (No. 123)
One atom of each set of equivalent atoms:
K 0.000 0.000 0.000 [1 per cell]
Rb 0.500 0.500 0.500 [1 per cell]
I 0.000 0.000 0.500 [1 per cell]
O 0.000 0.500 0.000 [2 per cell]

The value obtained for the polymorph energy (0 for the lowest one) is 0.000 kcal/mol of atoms. For the formation energy (no corrections), the calculation gives -0.259 eV/atom. Its crystal system is tetragonal. The calculation puts the final energy at -2.97 eV/atom.



No. 19
Compound: Zr2Cu3Pd
Source: the Alexandria database
Functional: PBE
Structure: relaxed

Unit cell a=7.019 b=6.771 c=8.810 alpha=90.00 beta=109.44 gamma=90.00
Space group C2/c (No. 15)
One atom of each set of equivalent atoms:
Zr 0.135 0.167 0.118 [8 per cell]
Cu 0.000 0.475 0.250 [4 per cell]
Cu 0.185 0.409 0.552 [8 per cell]
Pd 0.000 0.139 0.750 [4 per cell]

The value obtained for the formation energy is -238.5 meV per atom. Its crystal system is monoclinic. The calculation puts the final energy at -6.00 eV/atom.